Entry 1:
DFT (PBE) results for an optimized crystal structure of KVFePt2.

Summary:
E ... -0.177 hartree per atom
Energy relative to the elements ... 6.7 eV per formula unit
Density ... 8.2 g/cm³

Unit cell a=4.725 b=4.725 c=4.848 alpha=90.00 beta=90.00 gamma=90.00
Space group P4/mmm (No. 123)
Inequivalent atoms, fractional coordinates:
K (0.000, 0.000, 0.000) [1 per cell]
V (0.500, 0.500, 0.000) [1 per cell]
Fe (0.000, 0.000, 0.500) [1 per cell]
Pt (0.000, 0.500, 0.500) [2 per cell]

---

Entry 2:
DFT (PBE) results for an optimized crystal structure of KPuFeS3.

Summary:
E ... -0.266 hartree per atom
Raw formation energy ... -1195 meV/atom
Density ... 4.7 g/cm³

Unit cell a=8.816 b=3.964 c=9.169 alpha=90.00 beta=107.56 gamma=90.00
Space group P2_1/m (No. 11)
Inequivalent atoms, fractional coordinates:
K (0.199, 0.250, 0.230) [2 per cell]
Pu (0.327, 0.750, 0.840) [2 per cell]
Fe (0.079, 0.250, 0.590) [2 per cell]
S (0.119, 0.250, 0.849) [2 per cell]
S (0.198, 0.750, 0.527) [2 per cell]
S (0.458, 0.750, 0.151) [2 per cell]

---

Entry 3:
DFT (PBE) results for an optimized crystal structure of KPuFeSe3.

Summary:
E ... -0.249 hartree per atom
Raw formation energy ... -1052 meV/atom
Density ... 5.6 g/cm³

Unit cell a=9.188 b=4.107 c=9.588 alpha=90.00 beta=107.95 gamma=90.00
Space group P2_1/m (No. 11)
Inequivalent atoms, fractional coordinates:
K (0.200, 0.250, 0.230) [2 per cell]
Pu (0.326, 0.750, 0.841) [2 per cell]
Fe (0.076, 0.250, 0.585) [2 per cell]
Se (0.112, 0.250, 0.848) [2 per cell]
Se (0.206, 0.750, 0.525) [2 per cell]
Se (0.456, 0.750, 0.155) [2 per cell]